--- 1 ---
{"formula": "CaFe3Ni", "functional": "GGA-PBE", "state": "relaxed", "cell": [[-4.3599, -0.6353, 0.8273], [0.8663, -0.2247, 4.3927], [-0.5810, 4.4320, 0.3413]], "species": ["Fe", "Fe", "Fe", "Ca", "Ni"], "frac_coords": [[0.0000, 0.5000, 0.0000], [0.0000, 0.0000, 0.5000], [0.5000, 0.0000, 0.0000], [0.5000, 0.5000, 0.5000], [0.0000, 0.0000, 0.0000]], "vol_a3_per_fu": 90.1}

=====

--- 2 ---
{"formula": "CaFe3Ni", "functional": "GGA-PBE", "state": "relaxed", "cell": [[-1.6523, 3.9681, 1.0313], [-4.0639, -1.7321, 0.1534], [0.5418, -0.8908, 4.2956]], "species": ["Fe", "Fe", "Fe", "Ni", "Ca"], "frac_coords": [[0.0000, 0.5000, 0.0000], [0.0000, 0.0000, 0.5000], [0.5000, 0.0000, 0.0000], [0.5000, 0.5000, 0.5000], [0.0000, 0.0000, 0.0000]], "vol_a3_per_fu": 86.4}

=====

Among the structures shown above, 1 is the most stable, with the second-best lying 1519 meV/atom higher.